Density functional theory data (PBE-GGA) for an optimized crystal structure of GaGe2I.

abc: 6.5360 6.5360 7.5651
angles: 64.41 64.41 90.00
Fractional coordinates of all 8 atoms:
Ga1 0.5000 0.5000 0.0000
Ga2 0.2500 0.7500 0.5000
Ge1 0.5545 0.1250 0.2500
Ge2 0.3750 0.4455 0.7500
Ge3 0.8750 0.8045 0.7500
Ge4 0.1955 0.6250 0.2500
I1 0.7500 0.2500 0.5000
I2 0.0000 0.0000 0.0000

Calculated values
As for the symmetry: I-42d (122). Its density of states at the Fermi level is 0.6088 states/eV/atom. Its formation energy (no corrections) is 389 meV/atom. The relative energy among the computed polymorphs is 0 meV/atom. The calculation puts the magnetization at 0.00 μB per formula unit.

Density functional theory data (PBE-GGA) for an optimized crystal structure of LiZnGa3.

abc: 4.2782 5.5470 7.3981
angles: 90.00 90.00 90.00
Fractional coordinates of all 10 atoms:
Li1 0.7501 0.2500 0.4244
Li2 0.2499 0.7500 0.5756
Ga1 0.7500 0.9898 0.7614
Ga2 0.2500 0.0102 0.2386
Ga3 0.7500 0.7500 0.3626
Ga4 0.7500 0.5102 0.7614
Ga5 0.2500 0.2500 0.6374
Ga6 0.2500 0.4898 0.2386
Zn1 0.2500 0.7500 0.9354
Zn2 0.7500 0.2500 0.0646

Calculated values
As for the symmetry: Pmmn (59). The value obtained for the formation energy is -0.079 eV per atom. Its density of states at the Fermi level is 0.2090 states/eV/atom. The relative energy among the computed polymorphs is 0 meV/atom. The calculation puts the magnetization at 0.00 μB per formula unit.

Density functional theory data (PBE-GGA) for an optimized crystal structure of ErZr2ReC4.

abc: 3.3158 6.0450 11.6673
angles: 90.00 90.00 105.92
Fractional coordinates of all 16 atoms:
Er1 0.1059 0.2117 0.7500
Er2 0.8941 0.7883 0.2500
Re1 0.8428 0.6856 0.7500
Re2 0.1572 0.3144 0.2500
C1 0.2623 0.5247 0.3784
C2 0.0000 0.0000 0.0000
C3 0.0000 0.0000 0.5000
C4 0.5560 0.1119 0.2500
C5 0.2623 0.5247 0.1216
C6 0.7377 0.4753 0.6216
C7 0.4440 0.8881 0.7500
C8 0.7377 0.4753 0.8784
Zr1 0.6310 0.2619 0.0370
Zr2 0.3690 0.7381 0.5370
Zr3 0.3690 0.7381 0.9630
Zr4 0.6310 0.2619 0.4630

Calculated values
As for the symmetry: Cmcm (63). The value obtained for the formation energy is -0.311 eV per atom. Its density of states at the Fermi level is 0.3590 states/eV/atom. The calculation puts the magnetization at 0.00 μB per formula unit.

Density functional theory data (PBE-GGA) for an optimized crystal structure of Dy2HoLu.

abc: 3.5119 3.5119 11.5981
angles: 81.29 81.29 60.00
Fractional coordinates of all 4 atoms:
Dy1 0.2494 0.2494 0.2519
Dy2 0.7506 0.7506 0.7481
Ho1 0.0000 0.0000 0.0000
Lu1 0.5000 0.5000 0.5000

Calculated values
As for the symmetry: R-3m (166). The value obtained for the formation energy is 0.025 eV per atom. Its density of states at the Fermi level is 1.4448 states/eV/atom. The relative energy among the computed polymorphs is 0 meV/atom. The calculation puts the magnetization at 0.00 μB per formula unit.

Repeat the third record exactly.
Density functional theory data (PBE-GGA) for an optimized crystal structure of ErZr2ReC4.

abc: 3.3158 6.0450 11.6673
angles: 90.00 90.00 105.92
Fractional coordinates of all 16 atoms:
Er1 0.1059 0.2117 0.7500
Er2 0.8941 0.7883 0.2500
Re1 0.8428 0.6856 0.7500
Re2 0.1572 0.3144 0.2500
C1 0.2623 0.5247 0.3784
C2 0.0000 0.0000 0.0000
C3 0.0000 0.0000 0.5000
C4 0.5560 0.1119 0.2500
C5 0.2623 0.5247 0.1216
C6 0.7377 0.4753 0.6216
C7 0.4440 0.8881 0.7500
C8 0.7377 0.4753 0.8784
Zr1 0.6310 0.2619 0.0370
Zr2 0.3690 0.7381 0.5370
Zr3 0.3690 0.7381 0.9630
Zr4 0.6310 0.2619 0.4630

Calculated values
As for the symmetry: Cmcm (63). The value obtained for the formation energy is -0.311 eV per atom. Its density of states at the Fermi level is 0.3590 states/eV/atom. The calculation puts the magnetization at 0.00 μB per formula unit.